Entry 1:
This record from Alexandria via LeMat-Bulk describes a geometry-optimized RbTa2Al structure. The functional is PBE.

Output
For the total DFT energy (no corrections), the calculation gives -89.51 eV/cell. As for the formation energy: 1.509 eV per atom. As for the density of states at the Fermi level: 12.6 states/eV per cell. The crystal system is tetragonal.

The structure in CIF format:
```
data_RbTa2Al
_space_group_name_H-M_alt 'I -4 2 d'
_space_group_IT_number 122
_space_group_name_Hall 'I -4 2bw'
_cell_length_a 4.711
_cell_length_b 4.711
_cell_length_c 20.116
_cell_angle_alpha 90.00
_cell_angle_beta 90.00
_cell_angle_gamma 90.00
loop_
_atom_site_label
_atom_site_fract_x
_atom_site_fract_y
_atom_site_fract_z
Rb1 0.000 0.000 0.000
Ta1 0.110 0.750 0.625
Al1 0.000 0.000 0.500
```



Entry 2:
This record from Alexandria via LeMat-Bulk describes a geometry-optimized Sn2AsCl structure. The functional is PBE.

Output
For the total DFT energy (no corrections), the calculation gives -61.05 eV/cell. For the uncorrected formation energy, the calculation gives -190.2 meV/atom. As for the density of states at the Fermi level: 5.0 states/eV per cell. The crystal system is cubic. The distance to the lowest polymorph of the same formula comes out at 0.160 eV/atom.

The structure in CIF format:
```
data_Sn2AsCl
_space_group_name_H-M_alt 'F m -3 m'
_space_group_IT_number 225
_space_group_name_Hall '-F 4 2 3'
_cell_length_a 7.278
_cell_length_b 7.278
_cell_length_c 7.278
_cell_angle_alpha 90.00
_cell_angle_beta 90.00
_cell_angle_gamma 90.00
loop_
_atom_site_label
_atom_site_fract_x
_atom_site_fract_y
_atom_site_fract_z
Sn1 0.250 0.250 0.250
As1 0.000 0.000 0.000
Cl1 0.000 0.000 0.500
```



Entry 3:
This record from Alexandria via LeMat-Bulk describes a geometry-optimized EuGd2Al structure. The functional is PBE.

Output
For the total DFT energy (no corrections), the calculation gives -42.60 eV/cell. As for the formation energy: -0.105 eV per atom. As for the density of states at the Fermi level: 4.0 states/eV per cell. The crystal system is tetragonal. The distance to the lowest polymorph of the same formula comes out at 0.043 eV/atom.

The structure in CIF format:
```
data_EuGd2Al
_space_group_name_H-M_alt 'P 4/m m m'
_space_group_IT_number 123
_space_group_name_Hall '-P 4 2'
_cell_length_a 4.884
_cell_length_b 4.884
_cell_length_c 4.799
_cell_angle_alpha 90.00
_cell_angle_beta 90.00
_cell_angle_gamma 90.00
loop_
_atom_site_label
_atom_site_fract_x
_atom_site_fract_y
_atom_site_fract_z
Eu1 0.000 0.000 0.000
Gd1 0.000 0.500 0.500
Al1 0.500 0.500 0.000
```



Entry 4:
This record from Alexandria via LeMat-Bulk describes a geometry-optimized Mn3CoNi12 structure. The functional is PBE.

Output
For the total DFT energy (no corrections), the calculation gives -105.17 eV/cell. As for the formation energy: -0.074 eV per atom. As for the density of states at the Fermi level: 17.4 states/eV per cell. The crystal system is tetragonal.

The structure in CIF format:
```
data_Mn3CoNi12
_space_group_name_H-M_alt 'P 4/m m m'
_space_group_IT_number 123
_space_group_name_Hall '-P 4 2'
_cell_length_a 3.550
_cell_length_b 3.550
_cell_length_c 14.303
_cell_angle_alpha 90.00
_cell_angle_beta 90.00
_cell_angle_gamma 90.00
loop_
_atom_site_label
_atom_site_fract_x
_atom_site_fract_y
_atom_site_fract_z
Mn1 0.000 0.000 0.000
Mn2 0.000 0.000 0.250
Co1 0.000 0.000 0.500
Ni1 0.000 0.500 0.126
Ni2 0.000 0.500 0.379
Ni3 0.500 0.500 0.000
Ni4 0.500 0.500 0.252
Ni5 0.500 0.500 0.500
```



Entry 5:
This record from Alexandria via LeMat-Bulk describes a geometry-optimized HfZnNi3 structure. The functional is PBE.

Output
For the total DFT energy (no corrections), the calculation gives -26.32 eV/cell. As for the formation energy: 0.451 eV per atom. As for the density of states at the Fermi level: 5.6 states/eV per cell. The crystal system is cubic. The distance to the lowest polymorph of the same formula comes out at 0.591 eV/atom.

The structure in CIF format:
```
data_HfZnNi3
_space_group_name_H-M_alt 'P m -3 m'
_space_group_IT_number 221
_space_group_name_Hall '-P 4 2 3'
_cell_length_a 4.281
_cell_length_b 4.281
_cell_length_c 4.281
_cell_angle_alpha 90.00
_cell_angle_beta 90.00
_cell_angle_gamma 90.00
loop_
_atom_site_label
_atom_site_fract_x
_atom_site_fract_y
_atom_site_fract_z
Hf1 0.000 0.000 0.000
Zn1 0.500 0.500 0.500
Ni1 0.000 0.500 0.500
```



Entry 6:
This record from Alexandria via LeMat-Bulk describes a geometry-optimized LaCd4Hg4 structure. The functional is PBE.

Output
For the total DFT energy (no corrections), the calculation gives -21.96 eV/cell. As for the formation energy: -0.132 eV per atom. As for the density of states at the Fermi level: 12.0 states/eV per cell. The crystal system is tetragonal. The distance to the lowest polymorph of the same formula comes out at 0.043 eV/atom.

The structure in CIF format:
```
data_LaCd4Hg4
_space_group_name_H-M_alt 'P 42/n m c'
_space_group_IT_number 137
_cell_length_a 6.728
_cell_length_b 6.728
_cell_length_c 10.159
_cell_angle_alpha 90.00
_cell_angle_beta 90.00
_cell_angle_gamma 90.00
loop_
_space_group_symop_operation_xyz
'x,y,z'
'-x,-y,-z'
'-y+1/2,x,z+1/2'
'y+1/2,-x,-z+1/2'
'-x+1/2,-y+1/2,z'
'x+1/2,y+1/2,-z'
'y,-x+1/2,z+1/2'
'-y,x+1/2,-z+1/2'
'x+1/2,-y,-z'
'-x+1/2,y,z'
'-y,-x,-z+1/2'
'y,x,z+1/2'
'-x,y+1/2,-z'
'x,-y+1/2,z'
'y+1/2,x+1/2,-z+1/2'
'-y+1/2,-x+1/2,z+1/2'
loop_
_atom_site_label
_atom_site_fract_x
_atom_site_fract_y
_atom_site_fract_z
La1 0.250 0.750 0.250
Cd1 0.036 0.250 0.183
Hg1 0.005 0.250 0.475
```



Entry 7:
This record from Alexandria via LeMat-Bulk describes a geometry-optimized TbPr6Er12 structure. The functional is PBE.

Output
For the total DFT energy (no corrections), the calculation gives -236.54 eV/cell. As for the formation energy: 0.485 eV per atom. As for the density of states at the Fermi level: 76.1 states/eV per cell. The crystal system is trigonal. The distance to the lowest polymorph of the same formula comes out at 0.264 eV/atom.

The structure in CIF format:
```
data_TbPr6Er12
_space_group_name_H-M_alt 'R -3 m'
_space_group_IT_number 166
_space_group_name_Hall '-R 3 2"'
_cell_length_a 13.5815
_cell_length_b 13.5815
_cell_length_c 12.3941
_cell_angle_alpha 90.00
_cell_angle_beta 90.00
_cell_angle_gamma 120.00
loop_
_atom_site_label
_atom_site_fract_x
_atom_site_fract_y
_atom_site_fract_z
Tb1 0.0000 0.0000 0.0000
Pr1 0.0110 0.5055 0.7257
Er1 0.0000 0.3844 0.5000
Er2 0.0951 0.1902 0.3562
```



Entry 8:
This record from Alexandria via LeMat-Bulk describes a geometry-optimized Na2TiInS4 structure. The functional is PBE.

Output
For the total DFT energy (no corrections), the calculation gives -38.40 eV/cell. For the uncorrected formation energy, the calculation gives -1076.8 meV/atom. As for the density of states at the Fermi level: 2.5 states/eV per cell. The crystal system is monoclinic.

The structure in CIF format:
```
data_Na2TiInS4
_space_group_name_H-M_alt 'P 1 2/m 1'
_space_group_IT_number 10
_cell_length_a 6.627
_cell_length_b 3.716
_cell_length_c 6.941
_cell_angle_alpha 90.00
_cell_angle_beta 107.95
_cell_angle_gamma 90.00
loop_
_space_group_symop_operation_xyz
'x,y,z'
'-x,-y,-z'
'-x,y,-z'
'x,-y,z'
loop_
_atom_site_label
_atom_site_fract_x
_atom_site_fract_y
_atom_site_fract_z
Na1 0.000 0.000 0.000
Na2 0.500 0.500 0.000
Ti1 0.000 0.500 0.500
In1 0.500 0.000 0.500
S1 0.224 0.000 0.712
S2 0.243 0.500 0.286
```



Entry 9:
This record from Alexandria via LeMat-Bulk describes a geometry-optimized MnGa2Br6 structure. The functional is PBE.

Output
For the total DFT energy (no corrections), the calculation gives -127.90 eV/cell. For the uncorrected formation energy, the calculation gives -746.0 meV/atom. As for the density of states at the Fermi level: 0.0 states/eV per cell. The crystal system is monoclinic. The distance to the lowest polymorph of the same formula comes out at 0.000 eV/atom.

The structure in CIF format:
```
data_MnGa2Br6
_space_group_name_H-M_alt 'C 1 2/c 1'
_space_group_IT_number 15
_cell_length_a 15.346
_cell_length_b 14.166
_cell_length_c 6.724
_cell_angle_alpha 90.00
_cell_angle_beta 98.92
_cell_angle_gamma 90.00
loop_
_space_group_symop_operation_xyz
'x,y,z'
'-x,-y,-z'
'-x,y,-z+1/2'
'x,-y,z+1/2'
'x+1/2,y+1/2,z'
'-x+1/2,-y+1/2,-z'
'-x+1/2,y+1/2,-z+1/2'
'x+1/2,-y+1/2,z+1/2'
loop_
_atom_site_label
_atom_site_fract_x
_atom_site_fract_y
_atom_site_fract_z
Mn1 0.000 0.002 0.250
Ga1 0.081 0.418 0.270
Br1 0.091 0.092 0.536
Br2 0.143 0.434 0.639
Br3 0.161 0.294 0.165
```



Entry 10:
This record from Alexandria via LeMat-Bulk describes a geometry-optimized Pr4Y2Tm3 structure. The functional is PBE.

Output
For the total DFT energy (no corrections), the calculation gives -178.68 eV/cell. As for the formation energy: 0.088 eV per atom. As for the density of states at the Fermi level: 44.8 states/eV per cell. The crystal system is monoclinic. The distance to the lowest polymorph of the same formula comes out at 0.002 eV/atom.

The structure in CIF format:
```
data_Pr4Y2Tm3
_space_group_name_H-M_alt 'C 1 2/c 1'
_space_group_IT_number 15
_cell_length_a 13.785
_cell_length_b 13.754
_cell_length_c 6.450
_cell_angle_alpha 90.00
_cell_angle_beta 94.30
_cell_angle_gamma 90.00
loop_
_space_group_symop_operation_xyz
'x,y,z'
'-x,-y,-z'
'-x,y,-z+1/2'
'x,-y,z+1/2'
'x+1/2,y+1/2,z'
'-x+1/2,-y+1/2,-z'
'-x+1/2,y+1/2,-z+1/2'
'x+1/2,-y+1/2,z+1/2'
loop_
_atom_site_label
_atom_site_fract_x
_atom_site_fract_y
_atom_site_fract_z
Pr1 0.108 0.204 0.113
Pr2 0.129 0.316 0.606
Y1 0.210 0.442 0.050
Tm1 0.000 0.467 0.250
Tm2 0.094 0.066 0.592
```